20
Lattice="-5.136 -2.140 -1.633 2.233 -6.868 5.435 -3.299 6.292 5.587" Properties=species:S:1:pos:R:3 comment="Pa3TcIr | Alexandria via LeMat-Bulk | PBE-GGA | relaxed" volume_a3_per_cell=452 e_form_ev_per_atom=-0.311 final_energy_ev_per_atom=-9.85 pbc="T T T"
Pa -3.680 -0.097 5.618
Pa -2.522 -2.618 3.771
Ir -5.807 1.490 4.325
Pa -3.480 2.810 3.387
Pa -2.722 -5.526 6.002
Pa -1.511 0.574 1.426
Pa -5.166 -3.741 4.772
Pa -2.999 -0.136 8.803
Pa -1.036 1.026 4.617
Tc -3.610 0.059 2.740
Pa -3.204 -2.580 0.586
Ir -1.992 -7.585 4.221
Pa -3.235 2.873 6.902
Ir -0.395 -4.205 5.063
Ir -4.210 4.870 5.168
Tc 0.107 -1.604 3.525
Pa -4.691 -3.290 7.963
Pa -2.968 -5.588 2.486
Tc -2.592 -2.775 6.649
Tc -6.309 -1.111 5.864

---

14
Lattice="-3.409 0.887 6.534 -5.008 -1.425 -5.291 4.762 -5.666 0.564" Properties=species:S:1:pos:R:3 comment="Pa8TcIr5 | Alexandria via LeMat-Bulk | PBE-GGA | relaxed" volume_a3_per_cell=315 e_form_ev_per_atom=-0.589 final_energy_ev_per_atom=-9.92 pbc="T T T"
Pa -2.027 -1.854 3.747
Ir -2.762 -3.791 1.911
Pa -3.697 -1.874 0.121
Ir -6.210 -1.863 1.280
Pa 0.605 -6.555 -2.557
Pa -2.271 -5.670 -0.068
Pa -0.345 -2.317 0.477
Pa 2.875 -4.418 -0.206
Pa 0.216 -4.942 2.597
Pa -1.801 -3.736 -2.850
Ir -4.647 -0.305 4.618
Tc 0.216 -4.740 -0.589
Ir 0.677 -2.389 3.549
Ir -1.861 0.105 1.775

---

4
Lattice="-3.768 -2.589 -0.912 0.415 -3.932 -2.470 -0.550 -4.132 2.087" Properties=species:S:1:pos:R:3 comment="PaTiTcIr | Alexandria via LeMat-Bulk | PBE-GGA | relaxed" volume_a3_per_cell=72 e_form_ev_per_atom=-0.440 final_energy_ev_per_atom=-9.59 pbc="T T T"
Pa -2.928 -7.990 -0.971
Tc 0.000 0.000 0.000
Ir -1.952 -5.326 -0.648
Ti -0.976 -2.663 -0.324

---

4
Lattice="4.841 0.000 0.000 2.420 4.192 0.000 2.420 1.397 3.952" Properties=species:S:1:pos:R:3 comment="TmPaTcIr | Alexandria via LeMat-Bulk | PBE-GGA | relaxed" volume_a3_per_cell=80 e_form_ev_per_atom=-0.490 final_energy_ev_per_atom=-8.79 pbc="T T T"
Tc 4.841 2.795 1.976
Ir 0.000 0.000 0.000
Pa 7.261 4.192 2.964
Tm 2.420 1.397 0.988

---

4
Lattice="4.629 0.000 0.000 2.314 4.009 0.000 2.314 1.336 3.779" Properties=species:S:1:pos:R:3 comment="PaZnTcIr | Alexandria via LeMat-Bulk | PBE-GGA | relaxed" e_above_lowest_polymorph_mev_per_atom=147 volume_a3_per_cell=70 e_form_ev_per_atom=-0.329 final_energy_ev_per_atom=-7.83 pbc="T T T"
Tc 2.314 1.336 0.945
Pa 4.629 2.672 1.890
Ir 6.943 4.009 2.835
Zn 0.000 0.000 0.000

---

4
Lattice="-2.864 -2.323 0.274 0.875 -0.578 4.256 -2.528 3.229 0.958" Properties=species:S:1:pos:R:3 comment="PaZnTcIr | Alexandria via LeMat-Bulk | PBE-GGA | relaxed" e_above_lowest_polymorph_mev_per_atom=0 volume_a3_per_cell=68 e_form_ev_per_atom=-0.476 final_energy_ev_per_atom=-7.98 pbc="T T T"
Pa -0.994 -1.450 2.265
Tc -0.826 1.326 2.607
Zn -2.696 0.453 0.616
Ir 0.000 0.000 0.000

---

10
Lattice="4.046 0.000 -0.942 -0.598 8.135 -2.566 0.078 0.814 9.492" Properties=species:S:1:pos:R:3 comment="Pa4Te5Ir | Alexandria via LeMat-Bulk | PBE-GGA | relaxed" raw_formation_energy_ev_per_atom=-0.778 volume_a3_per_cell=322 final_energy_ev_per_atom=-7.03 pbc="T T T"
Te 3.030 5.838 3.851
Te 1.724 4.067 -1.754
Pa 3.986 2.600 7.958
Te 3.290 1.977 4.968
Te 0.497 3.110 2.132
Pa 2.624 0.929 2.110
Ir 2.023 0.000 -0.471
Te 0.236 6.971 1.015
Pa 0.902 8.019 3.873
Pa -0.460 6.349 -1.975

---

4
Lattice="3.336 0.000 0.000 1.668 2.889 0.000 1.668 0.963 10.008" Properties=species:S:1:pos:R:3 comment="PaTe2Ir | Alexandria via LeMat-Bulk | PBE-GGA | relaxed" raw_formation_energy_ev_per_atom=0.227 volume_a3_per_cell=96 final_energy_ev_per_atom=-5.93 pbc="T T T"
Te 5.003 2.889 2.536
Pa 3.336 1.926 5.004
Ir 0.000 0.000 0.000
Te 1.668 0.963 7.472

---

4
Lattice="-0.695 3.023 2.669 -2.844 -2.876 -0.619 4.509 -5.336 4.084" Properties=species:S:1:pos:R:3 comment="ThPaTeIr | Alexandria via LeMat-Bulk | PBE-GGA | relaxed" raw_formation_energy_ev_per_atom=-0.915 volume_a3_per_cell=112 final_energy_ev_per_atom=-8.14 pbc="T T T"
Te -0.141 -0.082 3.786
Ir 2.185 -5.358 4.095
Th 2.218 -2.448 3.944
Pa -2.461 -2.788 -0.028

---

12
Lattice="5.111 0.000 1.521 2.329 4.549 1.521 0.008 0.005 9.320" Properties=species:S:1:pos:R:3 comment="ThPa2Ir9 | Alexandria via LeMat-Bulk | PBE-GGA | relaxed" volume_a3_per_cell=217 e_form_ev_per_atom=-0.660 final_energy_ev_per_atom=-9.51 pbc="T T T"
Ir 4.957 3.031 2.038
Ir 4.363 2.668 8.753
Ir 4.261 4.184 4.378
Pa 1.028 0.629 5.892
Ir 3.085 1.886 3.610
Pa 6.420 3.926 6.470
Th 0.000 0.000 0.000
Ir 3.724 2.277 6.181
Ir 3.187 0.371 7.985
Ir 1.782 2.668 7.985
Ir 2.491 1.523 10.325
Ir 5.666 1.886 4.378

---

3
Lattice="4.863 0.000 0.000 2.431 4.211 0.000 2.431 1.404 3.970" Properties=species:S:1:pos:R:3 comment="ThPaIr | Alexandria via LeMat-Bulk | PBE-GGA | relaxed" e_above_lowest_polymorph_mev_per_atom=327 volume_a3_per_cell=81 e_form_ev_per_atom=-0.254 final_energy_ev_per_atom=-8.85 pbc="T T T"
Th 4.863 2.808 1.985
Ir 2.431 1.404 0.993
Pa 0.000 0.000 0.000

---

3
Lattice="-2.768 -2.066 1.954 -1.626 -1.596 -3.992 3.293 -2.307 2.227" Properties=species:S:1:pos:R:3 comment="ThPaIr | Alexandria via LeMat-Bulk | PBE-GGA | relaxed" e_above_lowest_polymorph_mev_per_atom=267 volume_a3_per_cell=73 e_form_ev_per_atom=-0.314 final_energy_ev_per_atom=-8.91 pbc="T T T"
Pa 0.830 -2.685 0.735
Ir -0.082 -0.061 0.058
Th -1.849 -3.223 -0.605